1.
Dy2ZnNi | PBE-GGA | optimized geometry Values from VASP.

Geometry as Quantum ESPRESSO input:
```
&SYSTEM
  ibrav = 0, nat = 4, ntyp = 3
/
ATOMIC_SPECIES
Ni 58.69 Ni.upf
Zn 65.41 Zn.upf
Dy 162.50 Dy.upf
CELL_PARAMETERS angstrom
-2.789 1.970 0.583
-1.971 -2.290 -1.694
-1.163 -3.409 5.962
ATOMIC_POSITIONS crystal
Ni 0.500 0.500 0.000
Zn 0.500 0.500 0.500
Dy 0.000 0.000 0.766
Dy 0.000 0.000 0.234
```

Properties
energy relative to the elements	-1.51	eV/f.u.
energy above the lowest structure with this stoichiometry	0.000	eV per atom

2.
Dy2ZrNi9 | PBE-GGA | optimized geometry Values from VASP.

Geometry as Quantum ESPRESSO input:
```
&SYSTEM
  ibrav = 0, nat = 12, ntyp = 3
/
ATOMIC_SPECIES
Dy 162.50 Dy.upf
Zr 91.22 Zr.upf
Ni 58.69 Ni.upf
CELL_PARAMETERS angstrom
-0.733 -1.837 -4.471
2.056 -4.252 -1.264
-6.118 -6.007 0.798
ATOMIC_POSITIONS crystal
Dy 0.863 0.863 0.412
Dy 0.137 0.137 0.588
Zr 0.000 0.000 0.000
Ni 0.667 0.667 0.000
Ni 0.333 0.333 0.000
Ni 0.500 0.500 0.500
Ni 0.418 0.418 0.244
Ni 0.919 0.418 0.244
Ni 0.418 0.919 0.244
Ni 0.582 0.582 0.756
Ni 0.582 0.081 0.756
Ni 0.081 0.582 0.756
```

Properties
energy relative to the elements	-4.63	eV/f.u.

3.
Dy2ZrNi9 | PBE-GGA | optimized geometry Values from VASP.

Geometry as Quantum ESPRESSO input:
```
&SYSTEM
  ibrav = 0, nat = 24, ntyp = 3
/
ATOMIC_SPECIES
Dy 162.50 Dy.upf
Zr 91.22 Zr.upf
Ni 58.69 Ni.upf
CELL_PARAMETERS angstrom
-1.519 0.418 4.630
4.016 -2.593 -1.031
9.089 13.371 1.774
ATOMIC_POSITIONS crystal
Dy 0.333 0.667 0.544
Dy 0.667 0.333 0.044
Dy 0.667 0.333 0.456
Dy 0.333 0.667 0.956
Zr 0.333 0.667 0.750
Zr 0.667 0.333 0.250
Ni 0.000 0.000 0.000
Ni 0.000 0.000 0.500
Ni 0.000 0.000 0.250
Ni 0.000 0.000 0.750
Ni 0.333 0.667 0.250
Ni 0.667 0.333 0.750
Ni 0.167 0.334 0.128
Ni 0.666 0.833 0.128
Ni 0.167 0.833 0.128
Ni 0.833 0.666 0.628
Ni 0.334 0.167 0.628
Ni 0.833 0.167 0.628
Ni 0.334 0.167 0.872
Ni 0.833 0.666 0.872
Ni 0.833 0.167 0.872
Ni 0.666 0.833 0.372
Ni 0.167 0.334 0.372
Ni 0.167 0.833 0.372
```

Properties
energy relative to the elements	-4.64	eV/f.u.

4.
Dy2ZrNi2 | PBE-GGA | optimized geometry Values from VASP.

Geometry as Quantum ESPRESSO input:
```
&SYSTEM
  ibrav = 0, nat = 10, ntyp = 3
/
ATOMIC_SPECIES
Dy 162.50 Dy.upf
Zr 91.22 Zr.upf
Ni 58.69 Ni.upf
CELL_PARAMETERS angstrom
5.858 0.000 0.000
-2.929 5.302 -0.757
0.000 -0.280 6.895
ATOMIC_POSITIONS crystal
Dy 0.540 0.299 0.149
Dy 0.241 0.701 0.351
Dy 0.460 0.701 0.851
Dy 0.759 0.299 0.649
Zr 0.914 0.000 0.250
Zr 0.086 0.000 0.750
Ni 0.698 0.701 0.496
Ni 0.997 0.299 0.004
Ni 0.302 0.299 0.504
Ni 0.003 0.701 0.996
```

Properties
energy relative to the elements	-1.65	eV/f.u.

5.
DyZr2Ni9 | PBE-GGA | optimized geometry Values from VASP.

Geometry as Quantum ESPRESSO input:
```
&SYSTEM
  ibrav = 0, nat = 12, ntyp = 3
/
ATOMIC_SPECIES
Dy 162.50 Dy.upf
Zr 91.22 Zr.upf
Ni 58.69 Ni.upf
CELL_PARAMETERS angstrom
4.893 0.000 0.000
2.447 4.238 0.000
2.447 1.413 7.964
ATOMIC_POSITIONS crystal
Dy 0.000 0.000 0.000
Zr 0.861 0.861 0.418
Zr 0.139 0.139 0.582
Ni 0.666 0.666 0.001
Ni 0.334 0.334 0.999
Ni 0.500 0.500 0.500
Ni 0.413 0.413 0.255
Ni 0.919 0.413 0.255
Ni 0.413 0.919 0.255
Ni 0.587 0.587 0.745
Ni 0.587 0.081 0.745
Ni 0.081 0.587 0.745
```

Properties
energy relative to the elements	-5.13	eV/f.u.

6.
Dy3Np | PBE-GGA | optimized geometry Values from VASP.

Geometry as Quantum ESPRESSO input:
```
&SYSTEM
  ibrav = 0, nat = 4, ntyp = 2
/
ATOMIC_SPECIES
Np 237.00 Np.upf
Dy 162.50 Dy.upf
CELL_PARAMETERS angstrom
3.403 0.000 0.000
0.000 6.200 0.000
-1.701 -3.100 5.678
ATOMIC_POSITIONS crystal
Np 0.000 0.009 0.000
Dy 0.253 0.581 0.506
Dy 0.500 0.502 0.000
Dy 0.747 0.075 0.494
```

Properties
energy relative to the elements	1.23	eV/f.u.

> What is the formula in the fifth record?

DyZr2Ni9

> What is the energy relative to the elements in the sixth record?

1.23 eV/f.u.

> Number 2 is which compound?

Dy2ZrNi9

> Number 2 is which compound?

Dy2ZrNi9